# 1
MnFeW2: optimized geometry, PBEsol.

As for the excess energy over the best structure of this formula in the dataset: 0 meV/atom. Its symmetry is P4mm. Its raw total energy is -11.456 eV per atom. The value obtained for the density is 14.9 g/cm3.

Cell lengths 3.033, 3.033, 5.804 Å; angles 90.00, 90.00, 90.00 degrees
Atoms (fractional coordinates):
W: 0.000 0.000 0.979
W: 0.500 0.500 0.272
Mn: 0.500 0.500 0.745
Fe: 0.000 0.000 0.505



# 2
MnFeW2: optimized geometry, PBEsol.

As for the excess energy over the best structure of this formula in the dataset: 68 meV/atom. Its symmetry is F-43m. Its raw total energy is -11.388 eV per atom. The value obtained for the density is 14.8 g/cm3.

Cell lengths 4.231, 4.231, 4.231 Å; angles 60.00, 60.00, 60.00 degrees
Atoms (fractional coordinates):
Mn: 0.250 0.250 0.250
Fe: 0.500 0.500 0.500
W: 0.000 0.000 0.000
W: 0.750 0.750 0.750



# 3
Y2MnFe: optimized geometry, PBEsol.

As for the excess energy over the best structure of this formula in the dataset: 0 meV/atom. Its symmetry is R3m. Its raw total energy is -8.070 eV per atom. The value obtained for the density is 5.6 g/cm3.

Cell lengths 3.669, 3.669, 7.668 Å; angles 76.16, 76.16, 60.00 degrees
Atoms (fractional coordinates):
Y: 0.782 0.782 0.655
Y: 0.969 0.969 0.094
Fe: 0.536 0.536 0.393
Mn: 0.214 0.214 0.357



# 4
Y2MnFe: optimized geometry, PBEsol.

As for the excess energy over the best structure of this formula in the dataset: 257 meV/atom. Its symmetry is P4/mmm. Its raw total energy is -7.813 eV per atom. The value obtained for the density is 6.2 g/cm3.

Cell lengths 3.356, 3.356, 6.881 Å; angles 89.98, 90.00, 90.00 degrees
Atoms (fractional coordinates):
Y: 0.000 0.001 0.235
Y: 0.000 0.999 0.765
Mn: 0.500 0.500 0.500
Fe: 0.500 0.500 0.000



# 5
Y6Mn14Fe9: optimized geometry, PBEsol.

Its symmetry is Fm-3m. Its raw total energy is -8.863 eV per atom. The value obtained for the density is 7.6 g/cm3.

Cell lengths 8.241, 8.241, 8.241 Å; angles 60.00, 60.00, 60.00 degrees
Atoms (fractional coordinates):
Mn: 0.878 0.878 0.367
Mn: 0.367 0.878 0.878
Mn: 0.122 0.122 0.633
Mn: 0.500 0.000 0.000
Mn: 0.000 0.000 0.500
Mn: 0.000 0.500 0.500
Mn: 0.500 0.500 0.000
Mn: 0.878 0.367 0.878
Mn: 0.000 0.500 0.000
Mn: 0.122 0.122 0.122
Mn: 0.878 0.878 0.878
Mn: 0.633 0.122 0.122
Mn: 0.122 0.633 0.122
Mn: 0.500 0.000 0.500
Fe: 0.320 0.320 0.039
Fe: 0.039 0.320 0.320
Fe: 0.320 0.039 0.320
Fe: 0.680 0.961 0.680
Fe: 0.320 0.320 0.320
Fe: 0.680 0.680 0.961
Fe: 0.961 0.680 0.680
Fe: 0.680 0.680 0.680
Fe: 0.000 0.000 0.000
Y: 0.295 0.705 0.295
Y: 0.295 0.705 0.705
Y: 0.705 0.295 0.295
Y: 0.705 0.295 0.705
Y: 0.705 0.705 0.295
Y: 0.295 0.295 0.705



# 6
Y2MnFe: optimized geometry, PBEsol.

As for the excess energy over the best structure of this formula in the dataset: 177 meV/atom. Its symmetry is Imm2. Its raw total energy is -7.892 eV per atom. The value obtained for the density is 6.2 g/cm3.

Cell lengths 3.289, 4.513, 5.889 Å; angles 112.53, 106.22, 90.00 degrees
Atoms (fractional coordinates):
Y: 0.771 0.771 0.542
Y: 0.990 0.490 0.979
Fe: 0.546 0.046 0.091
Mn: 0.194 0.194 0.387



# 7
YMn8Fe4: optimized geometry, PBEsol.

Its symmetry is I4/mmm. Its raw total energy is -9.264 eV per atom. The value obtained for the density is 8.3 g/cm3.

Cell lengths 4.589, 6.181, 6.181 Å; angles 82.08, 68.21, 68.21 degrees
Atoms (fractional coordinates):
Mn: 0.000 0.637 0.363
Mn: 0.500 0.225 0.775
Mn: 0.637 0.363 0.363
Mn: 0.275 0.225 0.225
Mn: 0.363 0.637 0.637
Mn: 0.000 0.363 0.637
Mn: 0.725 0.775 0.775
Mn: 0.500 0.775 0.225
Fe: 0.000 0.000 0.500
Fe: 0.000 0.500 0.000
Fe: 0.500 0.000 0.500
Fe: 0.500 0.500 0.000
Y: 0.000 0.000 0.000



# 8
MnZnFe6: optimized geometry, PBEsol.

Its symmetry is Cmmm. Its raw total energy is -8.093 eV per atom. The value obtained for the density is 8.7 g/cm3.

Cell lengths 6.076, 6.076, 9.947 Å; angles 90.00, 90.00, 109.54 degrees
Atoms (fractional coordinates):
Fe: 0.627 0.880 0.622
Fe: 0.123 0.372 0.128
Fe: 0.000 0.000 0.500
Fe: 0.877 0.628 0.128
Fe: 0.248 0.752 0.255
Fe: 0.500 0.500 0.500
Fe: 0.500 0.500 0.000
Fe: 0.628 0.877 0.128
Fe: 0.248 0.752 0.745
Fe: 0.880 0.627 0.378
Fe: 0.123 0.372 0.872
Fe: 0.880 0.627 0.622
Fe: 0.120 0.373 0.622
Fe: 0.372 0.123 0.128
Fe: 0.752 0.248 0.255
Fe: 0.373 0.120 0.378
Fe: 0.373 0.120 0.622
Fe: 0.120 0.373 0.378
Fe: 0.372 0.123 0.872
Fe: 0.752 0.248 0.745
Fe: 0.877 0.628 0.872
Fe: 0.628 0.877 0.872
Fe: 0.627 0.880 0.378
Fe: 0.000 0.000 0.000
Zn: 0.251 0.749 0.000
Zn: 0.500 0.500 0.747
Zn: 0.749 0.251 0.000
Zn: 0.500 0.500 0.253
Mn: 0.752 0.248 0.500
Mn: 0.000 0.000 0.747
Mn: 0.000 0.000 0.253
Mn: 0.248 0.752 0.500



Please write out number 1 again, unchanged.
MnFeW2: optimized geometry, PBEsol.

As for the excess energy over the best structure of this formula in the dataset: 0 meV/atom. Its symmetry is P4mm. Its raw total energy is -11.456 eV per atom. The value obtained for the density is 14.9 g/cm3.

Cell lengths 3.033, 3.033, 5.804 Å; angles 90.00, 90.00, 90.00 degrees
Atoms (fractional coordinates):
W: 0.000 0.000 0.979
W: 0.500 0.500 0.272
Mn: 0.500 0.500 0.745
Fe: 0.000 0.000 0.505